[1]
# Ho5GaS5, relaxed, DFT PBE
data_Ho5GaS5
_chemical_formula_sum 'Ho10 Ga2 S10'
_cell_length_a 12.517
_cell_length_b 5.555
_cell_length_c 7.911
_cell_angle_alpha 90.00
_cell_angle_beta 108.48
_cell_angle_gamma 90.00
_space_group_name_H-M_alt 'C 1 2/m 1'
_space_group_IT_number 12
_space_group_name_Hall '-C 2y'
loop_
_atom_site_label
_atom_site_fract_x
_atom_site_fract_y
_atom_site_fract_z
Ho1 0.000 0.000 0.000
Ho2 0.162 0.500 0.824
Ho3 0.167 0.500 0.339
Ga1 0.000 0.500 0.000
S1 0.000 0.500 0.500
S2 0.173 0.000 0.333
S3 0.173 0.000 0.842
# Crystal system   monoclinic
# DOS at the Fermi energy   4.71 states/eV/cell
# Formation energy (no corrections)   -1.7658 eV per atom
# Spin magnetization   0.0 μB per formula unit

***

[2]
# ZnPtCl2, relaxed, DFT PBE
data_ZnPtCl2
_chemical_formula_sum 'Zn2 Pt2 Cl4'
_cell_length_a 3.234
_cell_length_b 7.204
_cell_length_c 8.770
_cell_angle_alpha 90.00
_cell_angle_beta 90.00
_cell_angle_gamma 90.00
_space_group_name_H-M_alt 'C m m 2'
_space_group_IT_number 35
_space_group_name_Hall 'C 2 -2'
loop_
_atom_site_label
_atom_site_fract_x
_atom_site_fract_y
_atom_site_fract_z
Zn1 0.000 0.000 0.000
Pt1 0.000 0.500 0.227
Cl1 0.000 0.000 0.413
Cl2 0.000 0.500 0.811
# Crystal system   orthorhombic
# Formation energy (no corrections)   -0.3006 eV per atom
# Spin magnetization   0.0 μB per formula unit
# Energy above the most stable polymorph in this dataset   108 meV/atom

***

Total energy: -65.98; -12.21 (eV per formula unit)